[1]
Density functional theory data (GGA-PBE) for crystalline InNi at its relaxed geometry.

Structure (POSCAR):
```
InNi
1.0
1.562 4.876 0.390
-1.562 4.876 0.390
0.000 2.774 6.694
In Ni
3 3
direct
0.958 0.958 0.013 In
0.739 0.739 0.646 In
0.574 0.574 0.290 In
0.281 0.281 0.323 Ni
0.014 0.014 0.629 Ni
0.267 0.267 0.932 Ni
```

**Space group**: No. 8
**VASP energy**: -4.280 eV per atom
**Density of states at the Fermi level**: 3.5 states/eV/cell

[2]
Density functional theory data (GGA-PBE) for crystalline Na3Zn11 at its relaxed geometry.

Structure (POSCAR):
```
Na3Zn11
1.0
-3.957 -0.539 -1.854
-0.785 -8.029 -1.217
-4.658 -3.475 5.727
Na Zn
3 11
direct
0.000 0.000 0.000 Na
0.705 0.295 0.295 Na
0.295 0.705 0.705 Na
0.000 0.500 0.500 Zn
0.500 0.320 0.680 Zn
0.500 0.680 0.320 Zn
0.668 0.977 0.686 Zn
0.332 0.023 0.314 Zn
0.668 0.686 0.977 Zn
0.332 0.314 0.023 Zn
0.872 0.846 0.410 Zn
0.128 0.154 0.590 Zn
0.872 0.410 0.846 Zn
0.128 0.590 0.154 Zn
```

**Space group**: No. 71
**VASP energy**: -1.301 eV per atom
**Density of states at the Fermi level**: 3.5 states/eV/cell

[3]
Density functional theory data (GGA-PBE) for crystalline AsWAuBr2 at its relaxed geometry.

Structure (POSCAR):
```
AsWAuBr2
1.0
5.122 0.000 0.000
0.000 5.122 0.000
0.000 0.000 5.282
As Au Br W
1 1 2 1
direct
0.000 0.000 0.500 As
0.000 0.000 0.000 Au
0.000 0.500 0.000 Br
0.500 0.000 0.000 Br
0.500 0.500 0.500 W
```

**Space group**: No. 123
**Density of states at the Fermi level**: 5.9 states/eV/cell
**ΔE_f (raw)**: 1.483 eV per atom